# GdHoCdAg, relaxed, DFT GGA-PBE
data_GdHoCdAg
_chemical_formula_sum 'Gd4 Ho4 Cd4 Ag4'
_cell_length_a 7.402
_cell_length_b 7.402
_cell_length_c 7.402
_cell_angle_alpha 90.00
_cell_angle_beta 90.00
_cell_angle_gamma 90.00
_symmetry_space_group_name_H-M 'F -4 3 m'
_symmetry_Int_Tables_number 216
_symmetry_space_group_name_Hall 'F -4 2 3'
loop_
_atom_site_label
_atom_site_type_symbol
_atom_site_fract_x
_atom_site_fract_y
_atom_site_fract_z
Gd1 Gd 0.000 0.000 0.000
Ho1 Ho 0.000 0.000 0.500
Cd1 Cd 0.250 0.250 0.250
Ag1 Ag 0.250 0.250 0.750
# Magnetization: 29.10 μB/cell
# Electronic total energy: -5.91 eV/atom
# Energy relative to the elements: -305 meV/atom

=====

# Tl2TeO6, relaxed, DFT GGA-PBE
data_Tl2TeO6
_chemical_formula_sum 'Tl6 Te3 O18'
_cell_length_a 9.2823
_cell_length_b 9.2823
_cell_length_c 5.0898
_cell_angle_alpha 90.00
_cell_angle_beta 90.00
_cell_angle_gamma 120.00
_symmetry_space_group_name_H-M 'P 3 2 1'
_symmetry_Int_Tables_number 150
loop_
_symmetry_equiv_pos_as_xyz
'x,y,z'
'-y,x-y,z'
'-x+y,-x,z'
'y,x,-z'
'x-y,-y,-z'
'-x,-x+y,-z'
loop_
_atom_site_label
_atom_site_type_symbol
_atom_site_fract_x
_atom_site_fract_y
_atom_site_fract_z
Tl1 Tl 0.0000 0.2880 0.0000
Tl2 Tl 0.0000 0.6257 0.5000
Te1 Te 0.0000 0.0000 0.5000
Te2 Te 0.3333 0.6667 0.0150
O1 O 0.0797 0.8798 0.2838
O2 O 0.1350 0.5379 0.2354
O3 O 0.2228 0.7569 0.7955
# Magnetization: 0.00 μB/cell
# Raw formation energy: -823 meV/atom
# Electronic total energy: -5.00 eV/atom
# Polymorph energy (0 for the lowest one): 0 meV per atom

=====

# Na2AcTeSe4, relaxed, DFT GGA-PBE
data_Na2AcTeSe4
_chemical_formula_sum 'Na8 Ac4 Te4 Se16'
_cell_length_a 12.333
_cell_length_b 12.055
_cell_length_c 8.787
_cell_angle_alpha 90.00
_cell_angle_beta 133.14
_cell_angle_gamma 90.00
_symmetry_space_group_name_H-M 'C 1 2/c 1'
_symmetry_Int_Tables_number 15
loop_
_symmetry_equiv_pos_as_xyz
'x,y,z'
'-x,-y,-z'
'-x,y,-z+1/2'
'x,-y,z+1/2'
'x+1/2,y+1/2,z'
'-x+1/2,-y+1/2,-z'
'-x+1/2,y+1/2,-z+1/2'
'x+1/2,-y+1/2,z+1/2'
loop_
_atom_site_label
_atom_site_type_symbol
_atom_site_fract_x
_atom_site_fract_y
_atom_site_fract_z
Na1 Na 0.000 0.000 0.000
Na2 Na 0.250 0.250 0.000
Ac1 Ac 0.000 0.500 0.000
Te1 Te 0.250 0.250 0.500
Se1 Se 0.039 0.246 0.529
Se2 Se 0.246 0.488 0.490
# Magnetization: 0.00 μB/cell
# Raw formation energy: -1027 meV/atom
# Electronic total energy: -4.01 eV/atom

=====

# LaMo, relaxed, DFT GGA-PBE
data_LaMo
_chemical_formula_sum 'La1 Mo1'
_cell_length_a 2.893
_cell_length_b 2.893
_cell_length_c 5.363
_cell_angle_alpha 90.00
_cell_angle_beta 90.00
_cell_angle_gamma 90.00
_symmetry_space_group_name_H-M 'P 4/m m m'
_symmetry_Int_Tables_number 123
_symmetry_space_group_name_Hall '-P 4 2'
loop_
_atom_site_label
_atom_site_type_symbol
_atom_site_fract_x
_atom_site_fract_y
_atom_site_fract_z
La1 La 0.000 0.000 0.000
Mo1 Mo 0.500 0.500 0.500
# Magnetization: 0.00 μB/cell
# Electronic total energy: -7.09 eV/atom
# Polymorph energy (0 for the lowest one): 547 meV per atom
# Energy relative to the elements: 788 meV/atom

=====

# VNiMo, relaxed, DFT GGA-PBE
data_VNiMo
_chemical_formula_sum 'V2 Ni2 Mo2'
_cell_length_a 4.2137
_cell_length_b 4.2137
_cell_length_c 5.2268
_cell_angle_alpha 90.00
_cell_angle_beta 90.00
_cell_angle_gamma 120.00
_symmetry_space_group_name_H-M 'P 3 m 1'
_symmetry_Int_Tables_number 156
loop_
_symmetry_equiv_pos_as_xyz
'x,y,z'
'-y,x-y,z'
'-x+y,-x,z'
'-y,-x,z'
'-x+y,y,z'
'x,x-y,z'
loop_
_atom_site_label
_atom_site_type_symbol
_atom_site_fract_x
_atom_site_fract_y
_atom_site_fract_z
V1 V 0.0000 0.0000 0.0000
V2 V 0.3333 0.6667 0.3353
Ni1 Ni 0.3333 0.6667 0.8401
Ni2 Ni 0.6667 0.3333 0.6571
Mo1 Mo 0.0000 0.0000 0.5048
Mo2 Mo 0.6667 0.3333 0.1518
# Magnetization: 0.00 μB/cell
# Electronic total energy: -8.59 eV/atom
# Polymorph energy (0 for the lowest one): 116 meV per atom
# Energy relative to the elements: -17 meV/atom

=====

# YNi2IrC, relaxed, DFT GGA-PBE
data_YNi2IrC
_chemical_formula_sum 'Y1 Ni2 Ir1 C1'
_cell_length_a 4.066
_cell_length_b 4.066
_cell_length_c 4.095
_cell_angle_alpha 90.00
_cell_angle_beta 90.00
_cell_angle_gamma 90.00
_symmetry_space_group_name_H-M 'P 4/m m m'
_symmetry_Int_Tables_number 123
_symmetry_space_group_name_Hall '-P 4 2'
loop_
_atom_site_label
_atom_site_type_symbol
_atom_site_fract_x
_atom_site_fract_y
_atom_site_fract_z
Y1 Y 0.000 0.000 0.000
Ni1 Ni 0.000 0.500 0.500
Ir1 Ir 0.500 0.500 0.000
C1 C 0.500 0.500 0.500
# Magnetization: 0.00 μB/cell
# Electronic total energy: -7.43 eV/atom
# Energy relative to the elements: -211 meV/atom